Entry 1:
Li3La2InSn4 GGA-PBE optimized geometry; volume = 24.38 Å³ per atom; space-group type = P-4m2 (115); total magnetization = 0.0 μB/f.u.; calculated formation energy = -13.337 kcal/mol of atoms
1.0
-2.710 -1.257 -3.463
-3.042 -1.662 2.984
-5.294 10.373 0.380
La Sn Li In
2 4 3 1
Cartesian
-2.600 1.810 -1.642 La
-5.571 7.104 1.782 La
-3.349 2.750 1.623 Sn
0.000 0.000 0.000 Sn
-2.876 -1.459 -0.240 Sn
-4.822 6.164 -1.483 Sn
-5.990 8.452 -1.399 Li
-2.647 5.187 0.190 Li
-2.181 0.462 1.539 Li
-5.524 3.727 -0.050 In

Entry 2:
Li4La2InSn3 GGA-PBE optimized geometry; volume = 23.38 Å³ per atom; space-group type = P-4m2 (115); total magnetization = 0.0 μB/f.u.; calculated formation energy = -11.979 kcal/mol of atoms
1.0
-0.920 4.392 -0.948
-4.029 -1.234 -1.810
-4.819 1.139 9.952
Li Sn In La
4 3 1 2
Cartesian
0.000 0.000 0.000 Li
-2.474 1.579 -1.379 Li
-3.530 2.921 5.866 Li
-3.764 -0.204 2.707 Li
-2.409 0.569 4.976 Sn
-4.654 3.187 8.189 Sn
-2.639 -0.470 0.385 Sn
-4.884 2.148 3.597 In
-5.685 0.250 6.676 La
-1.608 2.467 1.897 La

Entry 3:
SrLi2La2In2 GGA-PBE optimized geometry; volume = 29.78 Å³ per atom; space-group type = R-3m (166); total magnetization = 0.0 μB/f.u.; calculated formation energy = -6.025 kcal/mol of atoms
1.0
-1.354 -3.793 2.953
2.223 -4.447 -0.470
6.956 -0.097 7.287
Li La In Sr
2 2 2 1
Cartesian
2.035 -4.915 3.065 Li
5.791 -3.422 6.704 Li
3.566 -7.168 5.096 La
4.259 -1.169 4.674 La
5.992 -6.204 7.446 In
1.833 -2.133 2.323 In
0.000 0.000 0.000 Sr

Entry 4:
Li2LaTaIn GGA-PBE optimized geometry; volume = 27.19 Å³ per atom; space-group type = P4/mmm (123); total magnetization = 2.7 μB/f.u.; calculated formation energy = 17.405 kcal/mol of atoms
1.0
-2.881 2.936 -2.867
-1.586 -4.324 -2.834
-3.831 -0.669 3.165
Li La In Ta
2 1 1 1
Cartesian
-1.916 -0.335 1.582 Li
-1.441 1.468 -1.434 Li
-4.149 -1.028 -1.268 La
-0.793 -2.162 -1.417 In
0.000 0.000 0.000 Ta

Entry 5:
LiLaTb2In4 GGA-PBE optimized geometry; volume = 26.98 Å³ per atom; space-group type = R-3m (166); total magnetization = 0.0 μB/f.u.; calculated formation energy = -9.602 kcal/mol of atoms
1.0
5.277 0.000 0.000
2.639 4.570 0.000
2.639 1.523 8.948
In La Tb Li
4 1 2 1
Cartesian
5.277 3.047 7.696 In
2.639 1.523 5.512 In
7.916 4.570 3.436 In
5.277 3.047 1.252 In
0.000 0.000 0.000 La
2.639 1.523 2.368 Tb
7.916 4.570 6.580 Tb
5.277 3.047 4.474 Li

Entry 6:
Li2LaTb2In2 GGA-PBE optimized geometry; volume = 27.15 Å³ per atom; space-group type = R-3m (166); total magnetization = 0.0 μB/f.u.; calculated formation energy = -5.744 kcal/mol of atoms
1.0
-0.962 3.388 -3.464
1.748 -0.588 -4.583
-7.210 -3.518 -4.962
La Li In Tb
1 2 2 2
Cartesian
0.000 0.000 0.000 La
-5.273 -1.587 -7.133 Li
-1.150 0.870 -5.876 Li
-4.983 -0.637 -9.807 In
-1.441 -0.081 -3.202 In
-2.112 1.074 -8.931 Tb
-4.311 -1.791 -4.078 Tb

Entry 7:
Li2La2ThIn2 GGA-PBE optimized geometry; volume = 27.25 Å³ per atom; space-group type = R-3m (166); total magnetization = 0.0 μB/f.u.; calculated formation energy = -4.861 kcal/mol of atoms
1.0
4.952 0.000 0.000
2.476 4.289 0.000
2.476 1.430 8.979
Th In La Li
1 2 2 2
Cartesian
0.000 0.000 0.000 Th
7.429 4.289 7.213 In
2.476 1.430 1.767 In
7.429 4.289 3.542 La
2.476 1.430 5.437 La
4.952 2.859 1.684 Li
4.952 2.859 7.295 Li

Entry 8:
LiLaTl2In GGA-PBE optimized geometry; volume = 26.61 Å³ per atom; space-group type = Pmma (51); total magnetization = 0.0 μB/f.u.; calculated formation energy = -5.862 kcal/mol of atoms
1.0
6.582 0.000 0.000
0.000 6.114 0.000
0.000 0.000 6.612
Li Tl La In
2 4 2 2
Cartesian
0.000 0.000 0.000 Li
0.000 3.057 0.000 Li
4.879 1.529 4.881 Tl
4.879 1.529 1.731 Tl
1.702 4.586 1.731 Tl
1.702 4.586 4.881 Tl
5.104 4.586 3.306 La
1.478 1.529 3.306 La
2.369 1.529 0.000 In
4.213 4.586 0.000 In